A geometry-optimized KAg2Ir structure, computed with PBE.

Unit cell a=2.741 b=4.690 c=7.360 alpha=90.00 beta=98.45 gamma=90.00
Fractional positions:
K 0.000 0.000 0.000
Ag 0.629 0.500 0.314
Ag 0.726 0.000 0.571
Ir 0.261 0.500 0.648

space group: Pm (6)
ΔE_f: 488.2 meV per atom

A geometry-optimized Na2Hg8Pb structure, computed with PBE.

Unit cell a=4.937 b=4.937 c=12.438 alpha=90.00 beta=90.00 gamma=90.00
Fractional positions:
Na 0.000 0.000 0.170
Na 0.000 0.000 0.830
Hg 0.000 0.500 0.000
Hg 0.000 0.500 0.344
Hg 0.000 0.500 0.656
Hg 0.500 0.000 0.000
Hg 0.500 0.000 0.344
Hg 0.500 0.000 0.656
Hg 0.500 0.500 0.183
Hg 0.500 0.500 0.817
Pb 0.000 0.000 0.500

space group: P4/mmm (123)
ΔE_f: -108.8 meV per atom

A geometry-optimized Cu2IrAu2 structure, computed with PBE.

Unit cell a=7.414 b=7.414 c=7.414 alpha=153.94 beta=153.94 gamma=37.18
Fractional positions:
Cu 0.250 0.750 0.500
Cu 0.750 0.250 0.500
Ir 0.000 0.000 0.000
Au 0.396 0.396 0.000
Au 0.604 0.604 0.000

space group: I4/mmm (139)
ΔE_f: 503.3 meV per atom

A geometry-optimized AlNi structure, computed with PBE.

Unit cell a=8.191 b=8.191 c=8.191 alpha=19.20 beta=19.20 gamma=19.20
Fractional positions:
Al 0.119 0.119 0.119
Al 0.881 0.881 0.881
Ni 0.374 0.374 0.374
Ni 0.626 0.626 0.626

space group: R-3m (166)
ΔE_f: -184.4 meV per atom

A geometry-optimized Al2OsSe structure, computed with PBE.

Unit cell a=4.797 b=4.797 c=4.797 alpha=130.81 beta=130.81 gamma=72.11
Fractional positions:
Al 0.250 0.750 0.500
Al 0.750 0.250 0.500
Os 0.000 0.000 0.000
Se 0.500 0.500 0.000

E_form (uncorrected): 0.13 eV/atom
space group: I4/mmm (139)

A geometry-optimized CeGaHg2 structure, computed with PBE.

Unit cell a=11.490 b=11.490 c=11.490 alpha=16.12 beta=16.12 gamma=16.12
Fractional positions:
Ce 0.000 0.000 0.000
Ga 0.500 0.500 0.500
Hg 0.094 0.094 0.094
Hg 0.906 0.906 0.906

space group: R-3m (166)
ΔE_f: 143.4 meV per atom

A geometry-optimized InCoRe structure, computed with PBE.

Unit cell a=4.143 b=4.143 c=4.143 alpha=60.00 beta=60.00 gamma=60.00
Fractional positions:
In 0.000 0.000 0.000
Co 0.750 0.750 0.750
Re 0.500 0.500 0.500

space group: F-43m (216)
ΔE_f: 535.3 meV per atom

A geometry-optimized Pm2CuSbS5 structure, computed with PBE.

Unit cell a=8.940 b=8.940 c=11.806 alpha=90.00 beta=90.00 gamma=154.34
Fractional positions:
Pm 0.117 0.883 0.500
Pm 0.125 0.875 0.127
Pm 0.875 0.125 0.627
Pm 0.883 0.117 0.000
Cu 0.251 0.749 0.933
Cu 0.749 0.251 0.433
Sb 0.408 0.592 0.298
Sb 0.592 0.408 0.798
S 0.033 0.967 0.910
S 0.301 0.699 0.128
S 0.308 0.692 0.475
S 0.355 0.645 0.817
S 0.496 0.504 0.115
S 0.504 0.496 0.615
S 0.645 0.355 0.317
S 0.692 0.308 0.975
S 0.699 0.301 0.628
S 0.967 0.033 0.410

E_form (uncorrected): -1.16 eV/atom
space group: Cmc2_1 (36)